Record 1
DFT (PBE-GGA) results for ZrAlS2N after structural relaxation.

Its distance to the lowest polymorph of the same formula is 0.000 eV per atom.

It has space group P4/mmm (No. 123), with a = 4.6837 Å, b = 4.6837 Å, c = 3.5832 Å, α = 90.00°, β = 90.00° and γ = 90.00°. The distinct sites, in fractional coordinates, are Zr at (0.0000, 0.0000, 0.0000), Al at (0.5000, 0.5000, 0.5000), S at (0.0000, 0.5000, 0.5000) and N at (0.5000, 0.5000, 0.0000).



Record 2
DFT (PBE-GGA) results for ZrAlS2N after structural relaxation.

Its distance to the lowest polymorph of the same formula is 0.295 eV per atom.

It has space group P4/mmm (No. 123), with a = 5.0925 Å, b = 5.0925 Å, c = 4.0672 Å, α = 90.00°, β = 90.00° and γ = 90.00°. The distinct sites, in fractional coordinates, are Zr at (0.0000, 0.0000, 0.0000), Al at (0.5000, 0.5000, 0.5000), S at (0.0000, 0.5000, 0.0000) and N at (0.0000, 0.0000, 0.5000).



Record 3
DFT (PBE-GGA) results for ZrAlSN2 after structural relaxation.

Its distance to the lowest polymorph of the same formula is 0.454 eV per atom.

It has space group P4/mmm (No. 123), with a = 4.0845 Å, b = 4.0845 Å, c = 5.3854 Å, α = 90.00°, β = 90.00° and γ = 90.00°. The distinct sites, in fractional coordinates, are Zr at (0.0000, 0.0000, 0.0000), Al at (0.5000, 0.5000, 0.5000), S at (0.0000, 0.0000, 0.5000) and N at (0.0000, 0.5000, 0.0000).



Record 4
DFT (PBE-GGA) results for ZrAlSN2 after structural relaxation.

Its distance to the lowest polymorph of the same formula is 0.000 eV per atom.

It has space group P4/mmm (No. 123), with a = 3.7454 Å, b = 3.7454 Å, c = 4.6741 Å, α = 90.00°, β = 90.00° and γ = 90.00°. The distinct sites, in fractional coordinates, are Zr at (0.0000, 0.0000, 0.0000), Al at (0.5000, 0.5000, 0.5000), S at (0.5000, 0.5000, 0.0000) and N at (0.0000, 0.5000, 0.5000).



Record 5
DFT (PBE-GGA) results for Al2SbN after structural relaxation.

Its distance to the lowest polymorph of the same formula is 1.428 eV per atom.

It has space group Fm-3m (No. 225), with a = 6.4360 Å, b = 6.4360 Å, c = 6.4360 Å, α = 90.00°, β = 90.00° and γ = 90.00°. The distinct sites, in fractional coordinates, are Al at (0.2500, 0.2500, 0.2500), Sb at (0.0000, 0.0000, 0.0000) and N at (0.0000, 0.0000, 0.5000).



Record 6
DFT (PBE-GGA) results for AlSb2N after structural relaxation.

Its distance to the lowest polymorph of the same formula is 0.000 eV per atom.

It has space group I-42d (No. 122), with a = 5.5536 Å, b = 5.5536 Å, c = 12.1135 Å, α = 90.00°, β = 90.00° and γ = 90.00°. The distinct sites, in fractional coordinates, are Al at (0.0000, 0.0000, 0.0000), Sb at (0.1847, 0.2500, 0.6250) and N at (0.0000, 0.0000, 0.5000).



Record 7
DFT (PBE-GGA) results for AlSbN after structural relaxation.

It has space group Cm (No. 8), with a = 5.6004 Å, b = 3.2331 Å, c = 12.0151 Å, α = 90.00°, β = 98.80° and γ = 90.00°. The distinct sites, in fractional coordinates, are Al at (0.0000, 0.0000, 0.0000), Al at (0.2232, 0.5000, 0.1725), Sb at (0.3239, 0.5000, 0.4624), Sb at (0.4041, 0.5000, 0.7100), N at (0.0588, 0.0000, 0.1795) and N at (0.1644, 0.5000, 0.9930).



Record 8
DFT (PBE-GGA) results for AlSb3N after structural relaxation.

Its distance to the lowest polymorph of the same formula is 0.000 eV per atom.

It has space group Pm-3m (No. 221), with a = 4.7548 Å, b = 4.7548 Å, c = 4.7548 Å, α = 90.00°, β = 90.00° and γ = 90.00°. The distinct sites, in fractional coordinates, are Al at (0.0000, 0.0000, 0.0000), Sb at (0.0000, 0.5000, 0.5000) and N at (0.5000, 0.5000, 0.5000).



Record 9
DFT (PBE-GGA) results for AlSbN3 after structural relaxation.

It has space group Pm-3m (No. 221), with a = 3.9950 Å, b = 3.9950 Å, c = 3.9950 Å, α = 90.00°, β = 90.00° and γ = 90.00°. The distinct sites, in fractional coordinates, are Al at (0.0000, 0.0000, 0.0000), Sb at (0.5000, 0.5000, 0.5000) and N at (0.0000, 0.5000, 0.5000).



Record 10
DFT (PBE-GGA) results for Al2SbN after structural relaxation.

Its distance to the lowest polymorph of the same formula is 0.000 eV per atom.

It has space group I-42d (No. 122), with a = 5.3064 Å, b = 5.3064 Å, c = 10.1251 Å, α = 90.00°, β = 90.00° and γ = 90.00°. The distinct sites, in fractional coordinates, are Al at (0.1328, 0.2500, 0.1250), Sb at (0.0000, 0.0000, 0.5000) and N at (0.0000, 0.0000, 0.0000).



Record 11
DFT (PBE-GGA) results for AlSb2N after structural relaxation.

Its distance to the lowest polymorph of the same formula is 0.550 eV per atom.

It has space group Fm-3m (No. 225), with a = 6.6921 Å, b = 6.6921 Å, c = 6.6921 Å, α = 90.00°, β = 90.00° and γ = 90.00°. The distinct sites, in fractional coordinates, are Al at (0.0000, 0.0000, 0.0000), Sb at (0.2500, 0.2500, 0.2500) and N at (0.0000, 0.0000, 0.5000).



Record 12
DFT (PBE-GGA) results for AlSbN3 after structural relaxation.

It has space group Pm-3m (No. 221), with a = 3.8345 Å, b = 3.8345 Å, c = 3.8345 Å, α = 90.00°, β = 90.00° and γ = 90.00°. The distinct sites, in fractional coordinates, are Al at (0.0000, 0.0000, 0.0000), Sb at (0.5000, 0.5000, 0.5000) and N at (0.0000, 0.0000, 0.5000).



Summary of raw formation energy in eV/atom
-0.37, -0.08, 0.28, -0.17, 0.98, 0.49, -0.67, 0.61, 1.44, -0.45, 1.04, 0.86
(order as listed above)